First-principles (PBE) data for Eu3Ho after structural relaxation, as listed in the Alexandria database.

a b c (Å): 5.344 5.344 5.344
angles (deg): 90.00 90.00 90.00
Each line ends with the local moment (μB).
Element x y z (fractional)
1 Ho 0.000 0.000 0.000  0.34
2 Eu 0.500 0.500 0.000  6.96
3 Eu 0.500 0.000 0.500  6.96
4 Eu 0.000 0.500 0.500  6.96

Summary:
* distance to the lowest polymorph of the same formula: 3 meV per atom
* formation energy from the elements: 0.0977 eV per atom
* spin magnetization: 22.640 Bohr magnetons per cell
* E: -8.75 eV per atom